# 1
DFT (PBE-GGA) results for a relaxed structure of BaVTe4.

The value obtained for the uncorrected formation energy is -617 meV per atom. For the calculated density, the calculation gives 5.9 g cm⁻³.

The space group is C2/c (No. 15) and the conventional cell measures 8.879, 13.815 and 6.457 Å, with angles of 90.00, 94.64 and 90.00 degrees. The inequivalent atoms are Ba at (0.000, 0.135, 0.250), V at (0.000, 0.479, 0.250), Te at (0.101, 0.357, 0.570) and Te at (0.206, 0.087, 0.778).

# 2
DFT (PBE-GGA) results for a relaxed structure of BaV3Te.

The value obtained for the uncorrected formation energy is 1022 meV per atom. For the calculated density, the calculation gives 4.9 g cm⁻³. The value obtained for the energy above the lowest structure with this stoichiometry is 0 meV/atom.

The space group is Pm-3m (No. 221) and the conventional cell measures 5.209, 5.209 and 5.209 Å, with angles of 90.00, 90.00 and 90.00 degrees. The inequivalent atoms are Ba at (0.000, 0.000, 0.000), V at (0.000, 0.500, 0.500) and Te at (0.500, 0.500, 0.500).

# 3
DFT (PBE-GGA) results for a relaxed structure of BaTeW.

The value obtained for the uncorrected formation energy is 496 meV per atom. For the calculated density, the calculation gives 8.0 g cm⁻³. The value obtained for the energy above the lowest structure with this stoichiometry is 101 meV/atom.

The space group is P-6m2 (No. 187) and the conventional cell measures 4.6362, 4.6362 and 5.0202 Å, with angles of 90.00, 90.00 and 120.00 degrees. The inequivalent atoms are Ba at (0.0000, 0.0000, 0.0000), Te at (0.6667, 0.3333, 0.5000) and W at (0.3333, 0.6667, 0.5000).